No. 1
DFT (GGA-PBE) results for crystalline NdGeNO at its relaxed geometry.

Cell: 3.7372 6.9639 5.1518 Å, 90.00 90.00 90.00°
With the nearest neighbours (Å) after each atom.
Space group Pmc2_1 (No. 26)
Symmetry-distinct sites (fractional):
Nd (0.0000, 0.2102, 0.0000) [2 per cell]  2 O 2.34, 2 N 2.35-2.54
Ge (0.5000, 0.2452, 0.4751) [2 per cell]  1 O 1.85, 2 N 2.05
N (0.0000, 0.1276, 0.5189) [2 per cell]  2 Ge 2.05
O (0.5000, 0.3526, 0.8044) [2 per cell]  1 Ge 1.85

Calculated values
Total DFT energy (no corrections) ... -55.31 eV/cell

---

No. 2
DFT (GGA-PBE) results for crystalline NdGeNO at its relaxed geometry.

Cell: 6.9529 6.9515 4.9715 Å, 90.00 90.10 90.00°
With the nearest neighbours (Å) after each atom.
Space group Cm (No. 8)
Symmetry-distinct sites (fractional):
Nd (0.0000, 0.2501, 0.0000) [4 per cell]  2 O 2.48-2.49, 4 N 2.52
Ge (0.2464, 0.0000, 0.4855) [2 per cell]  1 N 1.87
Ge (0.2476, 0.5000, 0.5127) [2 per cell]  1 N 1.87
N (0.2496, 0.0000, 0.1095) [2 per cell]  1 Ge 1.87
N (0.2497, 0.5000, 0.8882) [2 per cell]  1 Ge 1.87
O (0.0039, 0.2486, 0.4991) [4 per cell]  4 Ge 2.42-2.50, 2 Nd 2.48-2.49

Calculated values
Total DFT energy (no corrections) ... -110.26 eV/cell

---

No. 3
DFT (GGA-PBE) results for crystalline NdGeNO at its relaxed geometry.

Cell: 6.6357 6.7398 5.5912 Å, 90.00 90.00 90.00°
With the nearest neighbours (Å) after each atom.
Space group Pca2_1 (No. 29)
Symmetry-distinct sites (fractional):
Nd (0.0683, 0.1878, 0.0000) [4 per cell]  3 N 2.35-2.43, 1 O 2.45
Ge (0.1058, 0.6749, 0.0064) [4 per cell]  1 N 1.89, 2 O 1.96-1.99
N (0.0882, 0.1277, 0.5716) [4 per cell]  1 Ge 1.89
O (0.0356, 0.4813, 0.2543) [4 per cell]  2 Ge 1.96-1.99

Calculated values
Total DFT energy (no corrections) ... -111.76 eV/cell

---

No. 4
DFT (GGA-PBE) results for crystalline NdGeNO at its relaxed geometry.

Cell: 4.1975 6.1552 5.0016 Å, 90.00 90.00 90.00°
With the nearest neighbours (Å) after each atom.
Space group Pmc2_1 (No. 26)
Symmetry-distinct sites (fractional):
Nd (0.0000, 0.2164, 0.0000) [2 per cell]  2 O 2.28-2.40, 2 N 2.46
Ge (0.5000, 0.3132, 0.4638) [2 per cell]  2 N 1.90-2.01
N (0.5000, 0.3780, 0.8352) [2 per cell]  2 Ge 1.90-2.01
O (0.0000, 0.1541, 0.5258) [2 per cell]  2 Nd 2.28-2.40, 2 Ge 2.34

Calculated values
Total DFT energy (no corrections) ... -55.69 eV/cell

---

Number 1: magnetic moment 0.0 μB per cell. Number 2: magnetic moment 0.0 μB per cell. Number 3: magnetic moment 0.0 μB per cell. Number 4: magnetic moment 0.0 μB per cell.